DFT (PBE) results for a relaxed structure of MgZn.

Results
V = 18.30 Å³ per atom
Formation energy from the elements = -0.062 eV/atom

Cell lengths 3.0571, 4.8734, 5.4742 Å; angles 109.44, 106.86, 89.98 degrees
Closest atoms and distances in Å follow each position.
Fractional coordinates of all 4 atoms:
Mg 0.6092 0.3209 0.7184  7 Zn 2.86-2.95, 3 Mg 3.06-3.17
Zn 0.8541 0.1618 0.2134  2 Zn 2.69-2.74, 7 Mg 2.86-2.95
Mg 0.3908 0.6791 0.2816  7 Zn 2.86-2.95, 3 Mg 3.06-3.17
Zn 0.1459 0.8382 0.7866  2 Zn 2.69-2.74, 7 Mg 2.86-2.95